MnAgSb3: optimized geometry, PBE.

**ΔE_f (raw)**: 0.928 eV/atom
**Total moment**: 4.35 μB per formula unit
**E above lowest polymorph**: 0.484 eV/atom

Unit cell a=5.348 b=5.348 c=5.348 alpha=90.00 beta=90.00 gamma=90.00
Fractional coordinates of all 5 atoms:
Sb 0.000 0.500 0.000
Sb 0.000 0.000 0.500
Sb 0.500 0.000 0.000
Ag 0.000 0.000 0.000
Mn 0.500 0.500 0.500